(1)
Crystalline RbMg2H5 at its relaxed geometry, computed with PBE.

Structure (extended XYZ):
```
8
Lattice="-3.431 -1.401 -1.226 -0.711 -1.390 3.577 -1.040 7.485 0.572" Properties=species:S:1:pos:R:3 pbc="T T T"
Rb -2.071 -1.395 1.176
Mg -0.900 1.761 0.505
Mg -4.283 2.934 2.418
H -1.288 1.129 2.312
H -2.647 1.124 -0.089
H -2.535 3.570 3.013
H -3.895 3.565 0.611
H 0.000 0.000 0.000
```

Calculated values
Raw total energy: -2.7236 eV/atom
Space group: I4/mmm, No. 139

***

(2)
Crystalline Rb2MgH at its relaxed geometry, computed with PBE.

Structure (extended XYZ):
```
4
Lattice="-1.086 3.013 5.319 -4.055 -2.302 4.100 2.021 -2.362 5.374" Properties=species:S:1:pos:R:3 pbc="T T T"
H 0.000 0.000 0.000
Mg -1.560 -0.825 7.397
Rb -0.780 -0.413 3.698
Rb -2.340 -1.238 11.095
```

Calculated values
Energy above the lowest structure with this stoichiometry: 195.1 meV/atom
Space group: Fm-3m, No. 225

***

(3)
Crystalline RbMgH2 at its relaxed geometry, computed with PBE.

Structure (extended XYZ):
```
8
Lattice="-1.902 3.437 0.366 0.189 -0.328 4.077 9.068 7.157 1.213" Properties=species:S:1:pos:R:3 pbc="T T T"
Rb 1.405 4.735 1.029
Rb 5.909 6.904 4.131
Mg 0.198 1.606 2.898
Mg 7.114 10.036 2.255
H 4.572 4.263 0.795
H 1.871 2.531 2.893
H 4.641 3.952 4.093
H 5.443 9.108 2.263
```

Calculated values
Energy above the lowest structure with this stoichiometry: 39.4 meV/atom
Space group: P1, No. 1

***

(4)
Crystalline Rb2MgH4 at its relaxed geometry, computed with PBE.

Structure (extended XYZ):
```
28
Lattice="-0.855 0.298 6.257 -3.610 -7.283 -0.146 9.860 -4.920 1.582" Properties=species:S:1:pos:R:3 pbc="T T T"
Rb -1.766 -5.098 1.599
Rb 3.346 -3.107 2.202
Rb 7.160 -6.806 6.094
Rb 2.049 -8.798 5.490
Rb 4.107 -11.105 2.688
Rb 4.889 -6.953 2.596
Rb 1.288 -0.800 5.005
Rb 0.506 -4.952 5.096
Mg 1.304 -7.262 2.121
Mg -0.226 -1.956 1.659
Mg 4.090 -4.643 5.571
Mg 5.621 -9.949 6.033
H 0.482 -7.549 0.494
H 0.018 -2.836 3.263
H 5.322 -4.499 4.204
H 4.968 -8.926 7.424
H 4.912 -4.356 7.198
H 5.377 -9.069 4.430
H 0.073 -7.406 3.488
H 0.427 -2.979 0.269
H 2.135 -5.617 2.157
H -3.030 -7.582 1.544
H 3.259 -6.288 5.536
H 8.425 -4.323 6.148
H 7.792 -6.780 2.985
H 2.492 -8.678 2.351
H -2.397 -5.125 4.708
H 2.902 -3.227 5.341
```

Calculated values
Raw total energy: -2.6447 eV/atom
Space group: Pnma, No. 62

***

(5)
Crystalline RbMg2H6 at its relaxed geometry, computed with PBE.

Structure (extended XYZ):
```
9
Lattice="-0.498 4.569 3.105 1.668 -0.047 5.290 4.523 2.836 1.507" Properties=species:S:1:pos:R:3 pbc="T T T"
Rb 0.000 0.000 0.000
Mg 4.269 5.519 7.427
Mg 1.423 1.840 2.476
H 3.651 3.465 5.395
H 2.443 3.882 5.780
H 3.130 4.576 4.870
H 2.041 3.893 4.507
H 3.250 3.476 4.122
H 2.563 2.782 5.033
```

Calculated values
Energy above the lowest structure with this stoichiometry: 755.9 meV/atom
Space group: Fm-3m, No. 225

***

(6)
Crystalline RbMgH2 at its relaxed geometry, computed with PBE.

Structure (extended XYZ):
```
8
Lattice="-1.769 -1.037 3.584 2.768 -2.790 0.559 6.671 7.720 5.509" Properties=species:S:1:pos:R:3 pbc="T T T"
Rb 2.677 0.529 3.482
Rb 3.431 4.908 7.512
Mg -1.071 -0.303 3.789
Mg 7.154 5.712 7.192
H 2.788 3.617 4.252
H 0.032 0.972 4.696
H 3.048 3.729 3.522
H 6.047 4.431 6.275
```

Calculated values
Energy above the lowest structure with this stoichiometry: 41.9 meV/atom
Space group: Pm, No. 6

***

(7)
Crystalline RbMgH2 at its relaxed geometry, computed with PBE.

Structure (extended XYZ):
```
8
Lattice="-3.068 -0.160 2.638 2.296 -2.161 2.539 4.889 10.528 6.641" Properties=species:S:1:pos:R:3 pbc="T T T"
Rb 0.656 1.168 4.742
Rb 3.864 7.451 6.062
Mg 0.189 0.108 1.035
Mg 4.295 8.438 9.740
H 2.978 4.950 7.975
H 0.803 1.704 1.839
H 2.735 4.302 7.650
H 3.673 6.803 8.910
```

Calculated values
Energy above the lowest structure with this stoichiometry: 44.0 meV/atom
Space group: P1, No. 1

***

(8)
Crystalline Rb2MgH at its relaxed geometry, computed with PBE.

Structure (extended XYZ):
```
8
Lattice="-3.862 -5.938 -5.025 -4.648 -2.736 6.806 -7.742 -1.141 -0.206" Properties=species:S:1:pos:R:3 pbc="T T T"
H -4.255 -4.337 0.891
H -8.323 -4.107 3.746
Mg 0.000 0.000 0.000
Mg -7.930 -5.708 -2.170
Rb -4.493 -3.666 -1.772
Rb -5.761 -3.410 3.006
Rb -9.524 -4.418 1.284
Rb -12.727 -8.136 0.634
```

Calculated values
Energy above the lowest structure with this stoichiometry: 0.0 meV/atom
Space group: I-42d, No. 122

***

(9)
Crystalline Rb2Mg2H at its relaxed geometry, computed with PBE.

Structure (extended XYZ):
```
5
Lattice="7.625 0.000 0.000 0.000 7.625 0.000 3.813 3.813 3.686" Properties=species:S:1:pos:R:3 pbc="T T T"
H 0.000 0.000 0.000
Mg 3.813 3.813 1.645
Mg 7.625 7.625 2.040
Rb 7.625 3.813 1.843
Rb 3.813 7.625 1.843
```

Calculated values
Energy above the lowest structure with this stoichiometry: 164.6 meV/atom
Space group: I4/mmm, No. 139

***

(10)
Crystalline RbMgH2 at its relaxed geometry, computed with PBE.

Structure (extended XYZ):
```
4
Lattice="3.458 0.000 0.000 1.729 2.994 0.000 1.729 0.998 7.079" Properties=species:S:1:pos:R:3 pbc="T T T"
H 1.729 0.998 4.430
H 5.187 2.994 2.649
Mg 3.458 1.996 3.539
Rb 0.000 0.000 0.000
```

Calculated values
Energy above the lowest structure with this stoichiometry: 311.8 meV/atom
Space group: R-3m, No. 166

***

(11)
Crystalline RbMgH2 at its relaxed geometry, computed with PBE.

Structure (extended XYZ):
```
16
Lattice="3.597 0.000 0.000 0.000 3.544 0.000 -3.579 0.000 23.699" Properties=species:S:1:pos:R:3 pbc="T T T"
Rb 0.504 0.000 8.693
Rb -1.286 1.772 20.543
Rb 0.512 0.000 5.103
Rb -1.277 1.772 16.952
Mg 0.820 0.000 0.033
Mg -0.970 1.772 11.883
Mg 0.895 0.000 13.758
Mg 2.684 1.772 1.909
H 0.513 0.000 18.736
H 2.303 1.772 6.887
H -3.133 0.000 21.935
H -1.343 1.772 10.085
H 0.482 0.000 15.532
H 2.272 1.772 3.683
H 0.079 0.000 1.916
H -1.711 1.772 13.766
```

Calculated values
Energy above the lowest structure with this stoichiometry: 12.8 meV/atom
Space group: Cm, No. 8

***

(12)
Crystalline RbMg3H at its relaxed geometry, computed with PBE.

Structure (extended XYZ):
```
5
Lattice="-4.314 0.562 -2.698 -2.527 -2.807 3.455 -1.100 4.243 2.643" Properties=species:S:1:pos:R:3 pbc="T T T"
H 0.000 0.000 0.000
Mg -1.263 -1.404 1.728
Mg -0.550 2.122 1.322
Mg -2.157 0.281 -1.349
Rb -3.970 0.999 1.700
```

Calculated values
Raw total energy: -1.4026 eV/atom
Space group: Pm-3m, No. 221